! PBE-GGA LaMg2Pb2, relaxed; values from VASP
! Formation enthalpy at 0 K = -243 meV per atom
! Size of the total moment = 0.20 μB per cell
&SYSTEM
  ibrav = 0, nat = 10, ntyp = 3
/
ATOMIC_SPECIES
La 138.91 La.upf
Mg 24.30 Mg.upf
Pb 207.20 Pb.upf
CELL_PARAMETERS angstrom
8.744 0.000 0.000
0.000 8.744 0.000
0.000 0.000 3.573
ATOMIC_POSITIONS angstrom
La 0.000 0.000 0.000
La 4.372 4.372 0.000
Mg 1.058 3.313 0.000
Mg 3.313 7.685 0.000
Mg 5.430 1.058 0.000
Mg 7.685 5.430 0.000
Pb 1.531 5.903 1.786
Pb 2.841 1.531 1.786
Pb 5.903 7.213 1.786
Pb 7.213 2.841 1.786

! PBE-GGA CeNd2Dy3As6, relaxed; values from VASP
! Formation enthalpy at 0 K = -1511 meV per atom
! Size of the total moment = 0.53 μB per cell
&SYSTEM
  ibrav = 0, nat = 12, ntyp = 4
/
ATOMIC_SPECIES
Ce 140.12 Ce.upf
Nd 144.24 Nd.upf
Dy 162.50 Dy.upf
As 74.92 As.upf
CELL_PARAMETERS angstrom
9.111 -2.096 0.000
9.111 2.096 0.000
-1.908 0.000 8.151
ATOMIC_POSITIONS angstrom
Ce 0.000 0.000 0.000
Nd 4.797 0.000 5.422
Nd 11.518 0.000 2.729
Dy -0.954 0.000 4.076
Dy 5.738 0.000 1.361
Dy 10.576 0.000 6.791
As 1.873 0.000 4.800
As 2.892 0.000 0.627
As 8.592 0.000 2.043
As 7.723 0.000 6.108
As 13.423 0.000 7.524
As 14.442 0.000 3.351

! PBE-GGA CeNp2Sn9, relaxed; values from VASP
! Formation enthalpy at 0 K = -280 meV per atom
! Size of the total moment = 8.07 μB per cell
&SYSTEM
  ibrav = 0, nat = 12, ntyp = 3
/
ATOMIC_SPECIES
Ce 140.12 Ce.upf
Np 237.00 Np.upf
Sn 118.71 Sn.upf
CELL_PARAMETERS angstrom
4.688 0.000 0.000
0.000 4.688 0.000
0.000 0.000 13.941
ATOMIC_POSITIONS angstrom
Ce 0.000 0.000 0.000
Np 0.000 0.000 4.664
Np 0.000 0.000 9.277
Sn 0.000 2.344 2.361
Sn 0.000 2.344 6.971
Sn 0.000 2.344 11.580
Sn 2.344 0.000 2.361
Sn 2.344 0.000 6.971
Sn 2.344 0.000 11.580
Sn 2.344 2.344 0.000
Sn 2.344 2.344 4.658
Sn 2.344 2.344 9.283

! PBE-GGA Tc2AuBr, relaxed; values from VASP
! ΔE_f (raw) = 1.0888 eV/atom
! Size of the total moment = 2.48 μB per cell
&SYSTEM
  ibrav = 0, nat = 4, ntyp = 3
/
ATOMIC_SPECIES
Tc 98.00 Tc.upf
Au 196.97 Au.upf
Br 79.90 Br.upf
CELL_PARAMETERS angstrom
2.915 -4.503 0.000
2.915 4.503 0.000
-1.364 0.000 2.658
ATOMIC_POSITIONS angstrom
Tc 1.457 2.251 0.000
Tc 1.457 -2.251 0.000
Au -0.682 0.000 1.329
Br 2.233 0.000 1.329

! PBE-GGA Ac9Pm2Y, relaxed; values from VASP
! Formation enthalpy at 0 K = 25 meV per atom
! Size of the total moment = 0.00 μB per cell
&SYSTEM
  ibrav = 0, nat = 12, ntyp = 3
/
ATOMIC_SPECIES
Ac 227.00 Ac.upf
Pm 145.00 Pm.upf
Y 88.91 Y.upf
CELL_PARAMETERS angstrom
5.515 0.000 0.000
0.000 5.515 0.000
0.000 0.000 16.555
ATOMIC_POSITIONS angstrom
Ac 0.000 0.000 0.000
Ac 0.000 0.000 5.514
Ac 0.000 0.000 11.041
Ac 0.000 2.757 2.747
Ac 0.000 2.757 8.277
Ac 0.000 2.757 13.808
Ac 2.757 0.000 2.747
Ac 2.757 0.000 8.277
Ac 2.757 0.000 13.808
Pm 2.757 2.757 5.504
Pm 2.757 2.757 11.051
Y 2.757 2.757 0.000

! PBE-GGA BeSiRh2, relaxed; values from VASP
! ΔE_f (raw) = -0.7775 eV/atom
! Size of the total moment = 0.00 μB per cell
&SYSTEM
  ibrav = 0, nat = 4, ntyp = 3
/
ATOMIC_SPECIES
Be 9.01 Be.upf
Si 28.09 Si.upf
Rh 102.91 Rh.upf
CELL_PARAMETERS angstrom
4.060 0.000 0.000
0.000 4.060 0.000
0.000 0.000 2.882
ATOMIC_POSITIONS angstrom
Be 0.000 0.000 0.000
Si 2.030 2.030 0.000
Rh 0.000 2.030 1.441
Rh 2.030 0.000 1.441

Record order is preserved below.
V: 27.3; 25.9; 25.5; 17.4; 42.0; 11.9 Å³ per atom
Record order is preserved below.
Final energy: -33.50; -75.30; -71.20; -21.33; -52.64; -26.96 eV/cell